<one>
First-principles (PBE) data for crystalline La2Pr3Dy2 at its relaxed geometry, as listed in Alexandria via LeMat-Bulk.

Properties
Space group: C2/m, No. 12

abc: 3.587 8.750 9.190
angles: 118.25 101.25 90.00
Positions (direct):
Pr1 0.000 0.500 0.000
La1 0.564 0.912 0.128
Pr2 0.213 0.795 0.427
Dy1 0.850 0.662 0.700
La2 0.436 0.088 0.872
Pr3 0.787 0.205 0.573
Dy2 0.150 0.338 0.300

---

<two>
First-principles (PBE) data for crystalline La2Pr3Dy2 at its relaxed geometry, as listed in Alexandria via LeMat-Bulk.

Properties
Space group: P-1, No. 2

abc: 3.689 11.031 8.205
angles: 94.24 47.57 90.01
Positions (direct):
Pr1 0.575 0.570 0.284
La1 0.852 0.855 0.432
La2 0.148 0.145 0.568
Pr2 0.425 0.430 0.716
Dy1 0.289 0.288 0.141
Pr3 0.000 0.000 0.000
Dy2 0.711 0.712 0.859

---

Which of them is the most stable, and which is the least stable? <two> and <one>, in that order.

---

<one>
First-principles (PBE) data for crystalline La6Pr4Dy at its relaxed geometry, as listed in Alexandria via LeMat-Bulk.

Properties
Space group: I-42m, No. 121

abc: 7.037 7.037 9.626
angles: 111.44 111.44 90.00
Positions (direct):
Pr1 0.059 0.723 0.782
La1 0.131 0.131 0.636
La2 0.505 0.505 0.636
La3 0.500 0.000 0.000
Dy1 0.500 0.500 0.000
Pr2 0.723 0.059 0.782
La4 0.000 0.500 0.000
La5 0.495 0.869 0.364
La6 0.869 0.495 0.364
Pr3 0.941 0.941 0.218
Pr4 0.277 0.277 0.218

---

<two>
First-principles (PBE) data for crystalline La6Pr4Dy at its relaxed geometry, as listed in Alexandria via LeMat-Bulk.

Properties
Space group: I-42m, No. 121

abc: 9.715 9.715 9.715
angles: 60.13 138.50 138.50
Positions (direct):
La1 0.682 0.225 0.225
La2 0.000 0.456 0.775
Pr1 0.363 0.366 0.366
La3 0.500 0.000 0.500
Dy1 0.000 0.000 0.000
La4 0.318 0.544 0.544
La5 0.500 0.500 0.000
La6 0.000 0.775 0.456
Pr2 0.000 0.997 0.634
Pr3 0.637 0.003 0.003
Pr4 0.000 0.634 0.997

---

Which of them is the most stable, and which is the least stable? <two> and <one>, in that order.

---

<one>
First-principles (PBE) data for crystalline La2Pr4Dy5 at its relaxed geometry, as listed in Alexandria via LeMat-Bulk.

Properties
Space group: C2/m, No. 12

abc: 5.896 6.498 10.369
angles: 86.45 106.52 90.00
Positions (direct):
La1 0.597 0.456 0.195
Dy1 0.867 0.870 0.734
Pr1 0.695 0.925 0.390
Pr2 0.032 0.737 0.063
Dy2 0.787 0.395 0.574
La2 0.403 0.544 0.805
Pr3 0.968 0.263 0.937
Dy3 0.213 0.605 0.426
Dy4 0.133 0.130 0.266
Dy5 0.500 0.000 0.000
Pr4 0.305 0.075 0.610

---

<two>
First-principles (PBE) data for crystalline La2Pr4Dy5 at its relaxed geometry, as listed in Alexandria via LeMat-Bulk.

Properties
Space group: Immm, No. 71

abc: 3.551 9.342 12.746
angles: 111.50 98.01 90.00
Positions (direct):
Dy1 0.859 0.668 0.717
La1 0.732 0.732 0.464
Dy2 0.500 0.000 0.000
Dy3 0.141 0.951 0.283
Pr1 0.000 0.703 0.000
Dy4 0.859 0.049 0.717
Pr2 0.403 0.403 0.805
Dy5 0.141 0.332 0.283
La2 0.268 0.268 0.536
Pr3 0.000 0.297 0.000
Pr4 0.597 0.597 0.195

---

Which of them is the most stable, and which is the least stable? <one> and <two>, in that order.